w.
First-principles (PBE-GGA) data for a relaxed BC3Br crystal, as listed in the Alexandria database.

Results
M_tot   0.00 Bohr magnetons per cell

a = 3.989 Å, b = 3.989 Å, c = 3.989 Å
α = 90.00°, β = 90.00°, γ = 90.00°
Space group Pm-3m (No. 221)
Unique sites:
B  0.000  0.000  0.000 x1
C  0.000  0.500  0.500 x3
Br  0.500  0.500  0.500 x1

***

x.
First-principles (PBE-GGA) data for a relaxed BC3Br crystal, as listed in the Alexandria database.

Results
M_tot   0.00 Bohr magnetons per cell

a = 3.630 Å, b = 3.630 Å, c = 3.630 Å
α = 90.00°, β = 90.00°, γ = 90.00°
Space group Pm-3m (No. 221)
Unique sites:
B  0.000  0.000  0.000 x1
C  0.000  0.000  0.500 x3
Br  0.500  0.500  0.500 x1

***

Which one sits at the bottom of the stability order? w does.

***

w.
First-principles (PBE-GGA) data for a relaxed BC2Br crystal, as listed in the Alexandria database.

Results
M_tot   0.00 Bohr magnetons per cell

a = 5.502 Å, b = 5.502 Å, c = 5.502 Å
α = 90.00°, β = 90.00°, γ = 90.00°
Space group Fm-3m (No. 225)
Unique sites:
B  0.000  0.000  0.000 x4
C  0.250  0.250  0.250 x8
Br  0.000  0.000  0.500 x4

***

x.
First-principles (PBE-GGA) data for a relaxed BC2Br crystal, as listed in the Alexandria database.

Results
M_tot   0.00 Bohr magnetons per cell

a = 4.683 Å, b = 4.683 Å, c = 8.003 Å
α = 90.00°, β = 90.00°, γ = 90.00°
Space group I-42d (No. 122)
Unique sites:
B  0.000  0.000  0.000 x4
C  0.109  0.250  0.125 x8
Br  0.000  0.000  0.500 x4

***

Which one sits at the bottom of the stability order? w does.

***

w.
First-principles (PBE-GGA) data for a relaxed B2CBr crystal, as listed in the Alexandria database.

Results
M_tot   0.00 Bohr magnetons per cell

a = 5.536 Å, b = 5.536 Å, c = 5.536 Å
α = 90.00°, β = 90.00°, γ = 90.00°
Space group Fm-3m (No. 225)
Unique sites:
B  0.250  0.250  0.250 x8
C  0.000  0.000  0.000 x4
Br  0.000  0.000  0.500 x4

***

x.
First-principles (PBE-GGA) data for a relaxed B2CBr crystal, as listed in the Alexandria database.

Results
M_tot   0.00 Bohr magnetons per cell

a = 4.636 Å, b = 4.636 Å, c = 8.047 Å
α = 90.00°, β = 90.00°, γ = 90.00°
Space group I-42d (No. 122)
Unique sites:
B  0.102  0.250  0.125 x8
C  0.000  0.000  0.000 x4
Br  0.000  0.000  0.500 x4

***

Which one sits at the bottom of the stability order? w does.

***

w.
First-principles (PBE-GGA) data for a relaxed CaBSeBr2 crystal, as listed in the Alexandria database.

Results
M_tot   0.00 Bohr magnetons per cell

a = 4.744 Å, b = 4.744 Å, c = 4.851 Å
α = 90.00°, β = 90.00°, γ = 90.00°
Space group P4/mmm (No. 123)
Unique sites:
Ca  0.000  0.000  0.000 x1
B  0.500  0.500  0.500 x1
Se  0.500  0.500  0.000 x1
Br  0.000  0.500  0.500 x2

***

x.
First-principles (PBE-GGA) data for a relaxed CaBSeBr2 crystal, as listed in the Alexandria database.

Results
M_tot   1.01 Bohr magnetons per cell

a = 5.577 Å, b = 5.577 Å, c = 5.760 Å
α = 90.00°, β = 90.00°, γ = 90.00°
Space group P4/mmm (No. 123)
Unique sites:
Ca  0.000  0.000  0.000 x1
B  0.500  0.500  0.500 x1
Se  0.000  0.000  0.500 x1
Br  0.000  0.500  0.000 x2

***

Which one sits at the bottom of the stability order? x does.

***

w.
First-principles (PBE-GGA) data for a relaxed CdBBr2 crystal, as listed in the Alexandria database.

Results
M_tot   0.00 Bohr magnetons per cell

a = 3.3851 Å, b = 3.3851 Å, c = 29.3481 Å
α = 90.00°, β = 90.00°, γ = 120.00°
Space group R-3m (No. 166, hexagonal axes)
Unique sites:
Cd  0.0000  0.0000  0.0000 x3
B  0.0000  0.0000  0.5000 x3
Br  0.0000  0.0000  0.1175 x6

***

x.
First-principles (PBE-GGA) data for a relaxed CdBBr2 crystal, as listed in the Alexandria database.

Results
M_tot   0.00 Bohr magnetons per cell

a = 5.805 Å, b = 6.045 Å, c = 7.247 Å
α = 89.50°, β = 89.46°, γ = 71.51°
Space group P-1 (No. 2)
Unique sites:
Cd  0.000  0.000  0.000 x1
Cd  0.000  0.000  0.500 x1
B  0.214  0.083  0.246 x2
Br  0.199  0.414  0.250 x2
Br  0.448  0.137  0.749 x2

***

y.
First-principles (PBE-GGA) data for a relaxed CdBBr2 crystal, as listed in the Alexandria database.

Results
M_tot   0.00 Bohr magnetons per cell

a = 5.195 Å, b = 5.209 Å, c = 8.993 Å
α = 89.48°, β = 73.78°, γ = 89.13°
Space group P1 (No. 1)
Unique sites:
Cd  0.000  0.000  0.000 x1
Cd  0.463  0.464  0.001 x1
B  0.323  0.234  0.811 x1
B  0.665  0.731  0.139 x1
Br  0.159  0.459  0.687 x1
Br  0.373  0.959  0.270 x1
Br  0.608  0.011  0.688 x1
Br  0.828  0.503  0.272 x1

***

Which one sits at the bottom of the stability order? w does.

***

w.
First-principles (PBE-GGA) data for a relaxed CdBBr2 crystal, as listed in the Alexandria database.

Results
M_tot   0.00 Bohr magnetons per cell

a = 6.241 Å, b = 6.500 Å, c = 6.691 Å
α = 89.06°, β = 67.94°, γ = 86.90°
Space group P-1 (No. 2)
Unique sites:
Cd  0.000  0.000  0.000 x1
Cd  0.000  0.500  0.000 x1
B  0.122  0.428  0.273 x2
Br  0.143  0.702  0.450 x2
Br  0.416  0.258  0.212 x2

***

x.
First-principles (PBE-GGA) data for a relaxed CdBBr2 crystal, as listed in the Alexandria database.

Results
M_tot   0.00 Bohr magnetons per cell

a = 4.669 Å, b = 6.144 Å, c = 9.982 Å
α = 97.39°, β = 97.11°, γ = 108.98°
Space group P1 (No. 1)
Unique sites:
Cd  0.000  0.000  0.000 x1
Cd  0.347  0.775  0.850 x1
B  0.229  0.510  0.660 x1
B  0.552  0.073  0.040 x1
Br  0.002  0.182  0.656 x1
Br  0.339  0.591  0.490 x1
Br  0.511  0.043  0.238 x1
Br  0.662  0.419  0.016 x1

***

Which one sits at the bottom of the stability order? w does.

***

w.
First-principles (PBE-GGA) data for a relaxed CdBBr2 crystal, as listed in the Alexandria database.

Results
M_tot   0.00 Bohr magnetons per cell

a = 3.802 Å, b = 5.299 Å, c = 6.836 Å
α = 111.16°, β = 90.48°, γ = 110.97°
Space group P1 (No. 1)
Unique sites:
Cd  0.000  0.000  0.000 x1
B  0.634  0.268  0.000 x1
Br  0.678  0.365  0.739 x1
Br  0.826  0.646  0.262 x1

***

x.
First-principles (PBE-GGA) data for a relaxed CdBBr2 crystal, as listed in the Alexandria database.

Results
M_tot   0.00 Bohr magnetons per cell

a = 7.146 Å, b = 7.146 Å, c = 7.146 Å
α = 90.00°, β = 90.00°, γ = 90.00°
Space group Fm-3m (No. 225)
Unique sites:
Cd  0.000  0.000  0.000 x4
B  0.000  0.000  0.500 x4
Br  0.250  0.250  0.250 x8

***

y.
First-principles (PBE-GGA) data for a relaxed CdBBr2 crystal, as listed in the Alexandria database.

Results
M_tot   0.00 Bohr magnetons per cell

a = 7.146 Å, b = 7.146 Å, c = 10.091 Å
α = 90.00°, β = 90.00°, γ = 90.00°
Space group I4_1/amd (No. 141, origin choice 2)
Unique sites:
Cd  0.000  0.250  0.375 x4
B  0.000  0.250  0.875 x4
Br  0.000  0.000  0.000 x8

***

Which one sits at the bottom of the stability order? x does.

***

w.
First-principles (PBE-GGA) data for a relaxed CdB2Br2 crystal, as listed in the Alexandria database.

Results
M_tot   0.00 Bohr magnetons per cell

a = 9.030 Å, b = 9.030 Å, c = 3.112 Å
α = 90.00°, β = 90.00°, γ = 90.00°
Space group P4/mbm (No. 127)
Unique sites:
Cd  0.000  0.000  0.000 x2
B  0.247  0.253  0.500 x4
Br  0.136  0.636  0.000 x4

***

x.
First-principles (PBE-GGA) data for a relaxed CdB2Br2 crystal, as listed in the Alexandria database.

Results
M_tot   0.00 Bohr magnetons per cell

a = 4.533 Å, b = 4.533 Å, c = 11.076 Å
α = 90.00°, β = 90.00°, γ = 90.00°
Space group I4/mmm (No. 139)
Unique sites:
Cd  0.000  0.000  0.000 x2
B  0.000  0.500  0.250 x4
Br  0.000  0.000  0.314 x4

***

Which one sits at the bottom of the stability order? x does.

***

w.
First-principles (PBE-GGA) data for a relaxed CdBSe2Br crystal, as listed in the Alexandria database.

Results
M_tot   0.00 Bohr magnetons per cell

a = 4.611 Å, b = 4.611 Å, c = 4.719 Å
α = 90.00°, β = 90.00°, γ = 90.00°
Space group P4/mmm (No. 123)
Unique sites:
Cd  0.000  0.000  0.000 x1
B  0.500  0.500  0.500 x1
Se  0.000  0.500  0.500 x2
Br  0.500  0.500  0.000 x1

***

x.
First-principles (PBE-GGA) data for a relaxed CdBSe2Br crystal, as listed in the Alexandria database.

Results
M_tot   1.07 Bohr magnetons per cell

a = 5.223 Å, b = 5.223 Å, c = 5.588 Å
α = 90.00°, β = 90.00°, γ = 90.00°
Space group P4/mmm (No. 123)
Unique sites:
Cd  0.000  0.000  0.000 x1
B  0.500  0.500  0.500 x1
Se  0.000  0.500  0.000 x2
Br  0.000  0.000  0.500 x1

***

Which one sits at the bottom of the stability order? x does.

***

w.
First-principles (PBE-GGA) data for a relaxed B3BrCl crystal, as listed in the Alexandria database.

Results
M_tot   0.00 Bohr magnetons per cell

a = 4.860 Å, b = 4.860 Å, c = 4.860 Å
α = 90.00°, β = 90.00°, γ = 90.00°
Space group Pm-3m (No. 221)
Unique sites:
B  0.000  0.000  0.500 x3
Br  0.000  0.000  0.000 x1
Cl  0.500  0.500  0.500 x1

***

x.
First-principles (PBE-GGA) data for a relaxed B3BrCl crystal, as listed in the Alexandria database.

Results
M_tot   0.00 Bohr magnetons per cell

a = 4.680 Å, b = 4.680 Å, c = 4.680 Å
α = 90.00°, β = 90.00°, γ = 90.00°
Space group Pm-3m (No. 221)
Unique sites:
B  0.000  0.000  0.500 x3
Br  0.500  0.500  0.500 x1
Cl  0.000  0.000  0.000 x1

***

Which one sits at the bottom of the stability order? w does.

***

w.
First-principles (PBE-GGA) data for a relaxed BBrCl2 crystal, as listed in the Alexandria database.

Results
M_tot   0.00 Bohr magnetons per cell

a = 3.1613 Å, b = 3.1613 Å, c = 30.5289 Å
α = 90.00°, β = 90.00°, γ = 120.00°
Space group R-3m (No. 166, hexagonal axes)
Unique sites:
B  0.0000  0.0000  0.0000 x3
Br  0.0000  0.0000  0.5000 x3
Cl  0.0000  0.0000  0.3747 x6

***

x.
First-principles (PBE-GGA) data for a relaxed BBrCl2 crystal, as listed in the Alexandria database.

Results
M_tot   8.00 Bohr magnetons per cell

a = 7.078 Å, b = 7.078 Å, c = 7.078 Å
α = 90.00°, β = 90.00°, γ = 90.00°
Space group Fm-3m (No. 225)
Unique sites:
B  0.000  0.000  0.000 x4
Br  0.000  0.000  0.500 x4
Cl  0.250  0.250  0.250 x8

***

Which one sits at the bottom of the stability order? x does.

***

w.
First-principles (PBE-GGA) data for a relaxed BBrCl2 crystal, as listed in the Alexandria database.

Results
M_tot   0.00 Bohr magnetons per cell

a = 5.3679 Å, b = 5.3679 Å, c = 19.0673 Å
α = 90.00°, β = 90.00°, γ = 120.00°
Space group R-3m (No. 166, hexagonal axes)
Unique sites:
B  0.0000  0.0000  0.0000 x3
Br  0.0000  0.0000  0.5000 x3
Cl  0.0000  0.0000  0.0844 x6

***

x.
First-principles (PBE-GGA) data for a relaxed BBrCl2 crystal, as listed in the Alexandria database.

Results
M_tot   0.00 Bohr magnetons per cell

a = 6.411 Å, b = 6.411 Å, c = 9.065 Å
α = 90.00°, β = 90.00°, γ = 90.00°
Space group I-42d (No. 122)
Unique sites:
B  0.000  0.000  0.000 x4
Br  0.000  0.000  0.500 x4
Cl  0.003  0.250  0.125 x8

***

y.
First-principles (PBE-GGA) data for a relaxed BBrCl2 crystal, as listed in the Alexandria database.

Results
M_tot   0.00 Bohr magnetons per cell

a = 7.816 Å, b = 12.079 Å, c = 3.382 Å
α = 90.00°, β = 115.24°, γ = 90.00°
Space group C2 (No. 5)
Unique sites:
B  0.000  0.000  0.000 x2
Br  0.000  0.881  0.500 x2
Cl  0.216  0.072  0.213 x4

***

Which one sits at the bottom of the stability order? x does.